# Sr6GeBi2 GGA-PBE optimized geometry
data_Sr6GeBi2
_chemical_formula_sum 'Sr12 Ge2 Bi4'
_cell_length_a 7.877
_cell_length_b 8.649
_cell_length_c 13.777
_cell_angle_alpha 90.00
_cell_angle_beta 124.54
_cell_angle_gamma 90.00
_symmetry_space_group_name_H-M 'P 1 21/c 1'
_symmetry_Int_Tables_number 14
loop_
_symmetry_equiv_pos_as_xyz
'x,y,z'
'-x,-y,-z'
'-x,y+1/2,-z+1/2'
'x,-y+1/2,z+1/2'
loop_
_atom_site_label
_atom_site_type_symbol
_atom_site_fract_x
_atom_site_fract_y
_atom_site_fract_z
Sr1 Sr 0.125 0.185 0.441
Sr2 Sr 0.265 0.693 0.446
Sr3 Sr 0.363 0.043 0.247
Ge1 Ge 0.500 0.000 0.500
Bi1 Bi 0.224 0.084 0.753
# Energy of formation from the pure elements: -609 meV per atom
# Volume: 773.18 Å³ per cell
# Electronic total energy: -3.106 eV per atom

# Sr2GeBi GGA-PBE optimized geometry
data_Sr2GeBi
_chemical_formula_sum 'Sr8 Ge4 Bi4'
_cell_length_a 8.047
_cell_length_b 8.047
_cell_length_c 8.047
_cell_angle_alpha 90.00
_cell_angle_beta 90.00
_cell_angle_gamma 90.00
_symmetry_space_group_name_H-M 'F m -3 m'
_symmetry_Int_Tables_number 225
_symmetry_space_group_name_Hall '-F 4 2 3'
loop_
_atom_site_label
_atom_site_type_symbol
_atom_site_fract_x
_atom_site_fract_y
_atom_site_fract_z
Sr1 Sr 0.250 0.250 0.250
Ge1 Ge 0.000 0.000 0.000
Bi1 Bi 0.000 0.000 0.500
# Energy of formation from the pure elements: -528 meV per atom
# Volume: 521.06 Å³ per cell
# Electronic total energy: -3.494 eV per atom
# ΔE to the lowest computed polymorph: 6.0 kJ/mol of atoms

# Sr2Ge2Bi GGA-PBE optimized geometry
data_Sr2Ge2Bi
_chemical_formula_sum 'Sr4 Ge4 Bi2'
_cell_length_a 4.211
_cell_length_b 15.261
_cell_length_c 4.607
_cell_angle_alpha 90.00
_cell_angle_beta 90.00
_cell_angle_gamma 90.00
_symmetry_space_group_name_H-M 'C m m m'
_symmetry_Int_Tables_number 65
_symmetry_space_group_name_Hall '-C 2 2'
loop_
_atom_site_label
_atom_site_type_symbol
_atom_site_fract_x
_atom_site_fract_y
_atom_site_fract_z
Sr1 Sr 0.000 0.130 0.000
Ge1 Ge 0.000 0.299 0.500
Bi1 Bi 0.000 0.500 0.500
# Energy of formation from the pure elements: -612 meV per atom
# Volume: 296.10 Å³ per cell
# Electronic total energy: -3.908 eV per atom
# ΔE to the lowest computed polymorph: 0.0 kJ/mol of atoms